Record 1
VASP calculation (GGA-PBE) on a geometry-optimized Nd2Sm2Se3O4 structure.

Calculated values
Excess energy over the best structure of this formula in the dataset: 3 meV per atom
Uncorrected energy: -79.67 eV per cell
SG: Amm2
Spin magnetization: 0.004 μB per formula unit

a = 8.4093 Å, b = 6.7113 Å, c = 6.7113 Å
α = 34.43°, β = 90.00°, γ = 90.00°
Fractional positions:
Nd: 0.0000 0.0000 0.0000
Nd: 0.5000 0.0172 0.0172
Sm: 0.2372 0.6832 0.6832
Sm: 0.7628 0.6832 0.6832
Se: 0.0000 0.3122 0.3122
Se: 0.3496 0.3555 0.3555
Se: 0.6504 0.3555 0.3555
O: 0.0000 0.5904 0.5904
O: 0.2438 0.0895 0.0895
O: 0.5000 0.6186 0.6186
O: 0.7562 0.0895 0.0895

=====

Record 2
VASP calculation (GGA-PBE) on a geometry-optimized Nd2Sn2Se2O3 structure.

Calculated values
Uncorrected energy: -54.87 eV per cell
SG: I4/mmm
Spin magnetization: 0.007 μB per formula unit

a = 9.7290 Å, b = 9.7290 Å, c = 9.7290 Å
α = 153.30°, β = 153.30°, γ = 38.11°
Fractional positions:
Nd: 0.2000 0.2000 0.0000
Nd: 0.8000 0.8000 0.0000
Sn: 0.0000 0.5000 0.5000
Sn: 0.5000 0.0000 0.5000
Se: 0.3842 0.3842 0.0000
Se: 0.6158 0.6158 0.0000
O: 0.0000 0.0000 0.0000
O: 0.2500 0.7500 0.5000
O: 0.7500 0.2500 0.5000